A geometry-optimized HoTaP2 structure, computed with PBE.

Properties
* space group: R3m (160)
* energy of formation from the pure elements: -4.55 eV per formula unit

Unit cell a=6.8321 b=6.8321 c=6.8321 alpha=31.03 beta=31.03 gamma=31.03
Sites, in units of the cell vectors:
1 Ho 0.0000 0.0000 0.0000
2 Ta 0.1757 0.1757 0.1757
3 P 0.4311 0.4311 0.4311
4 P 0.5802 0.5802 0.5802

A geometry-optimized Mn2TlRu structure, computed with PBE.

Properties
* space group: P4mm (99)
* energy of formation from the pure elements: 1.48 eV per formula unit

Unit cell a=2.9325 b=2.9325 c=7.3528 alpha=90.00 beta=90.00 gamma=90.00
Sites, in units of the cell vectors:
1 Mn 0.0000 0.0000 0.0000
2 Mn 0.5000 0.5000 0.2194
3 Tl 0.5000 0.5000 0.7030
4 Ru 0.0000 0.0000 0.4081

A geometry-optimized InBi2Pb4 structure, computed with PBE.

Properties
* space group: I4/mmm (139)
* energy of formation from the pure elements: 0.78 eV per formula unit

Unit cell a=7.9385 b=7.9385 c=7.9385 alpha=135.36 beta=135.36 gamma=64.98
Sites, in units of the cell vectors:
1 In 0.0000 0.0000 0.0000
2 Bi 0.3568 0.3568 0.0000
3 Bi 0.6432 0.6432 0.0000
4 Pb 0.0000 0.5000 0.5000
5 Pb 0.2500 0.7500 0.5000
6 Pb 0.5000 0.0000 0.5000
7 Pb 0.7500 0.2500 0.5000

A geometry-optimized SnOsPb3 structure, computed with PBE.

Properties
* space group: Pm-3m (221)
* energy of formation from the pure elements: 2.68 eV per formula unit

Unit cell a=5.3237 b=5.3237 c=5.3237 alpha=90.00 beta=90.00 gamma=90.00
Sites, in units of the cell vectors:
1 Sn 0.0000 0.0000 0.0000
2 Os 0.5000 0.5000 0.5000
3 Pb 0.0000 0.5000 0.5000
4 Pb 0.5000 0.0000 0.5000
5 Pb 0.5000 0.5000 0.0000

A geometry-optimized Tl3Sn5O12 structure, computed with PBE.

Properties
* space group: Ia-3d (230)
* formation energy without anion corrections: -1.2113 eV per atom

Unit cell a=11.8219 b=11.8219 c=11.8219 alpha=109.47 beta=109.47 gamma=109.47
Sites, in units of the cell vectors:
1 Tl 0.1250 0.2500 0.3750
2 Tl 0.1250 0.3750 0.7500
3 Tl 0.2500 0.3750 0.1250
4 Tl 0.2500 0.8750 0.6250
5 Tl 0.3750 0.1250 0.2500
6 Tl 0.3750 0.7500 0.1250
7 Tl 0.6250 0.2500 0.8750
8 Tl 0.6250 0.8750 0.7500
9 Tl 0.7500 0.1250 0.3750
10 Tl 0.7500 0.6250 0.8750
11 Tl 0.8750 0.6250 0.2500
12 Tl 0.8750 0.7500 0.6250
13 Sn 0.0000 0.0000 0.0000
14 Sn 0.0000 0.0000 0.5000
15 Sn 0.0000 0.5000 0.0000
16 Sn 0.0000 0.5000 0.5000
17 Sn 0.1250 0.7500 0.8750
18 Sn 0.1250 0.8750 0.2500
19 Sn 0.2500 0.1250 0.8750
20 Sn 0.2500 0.6250 0.3750
21 Sn 0.3750 0.2500 0.6250
22 Sn 0.3750 0.6250 0.7500
23 Sn 0.5000 0.0000 0.0000
24 Sn 0.5000 0.0000 0.5000
25 Sn 0.5000 0.5000 0.0000
26 Sn 0.5000 0.5000 0.5000
27 Sn 0.6250 0.3750 0.2500
28 Sn 0.6250 0.7500 0.3750
29 Sn 0.7500 0.3750 0.6250
30 Sn 0.7500 0.8750 0.1250
31 Sn 0.8750 0.1250 0.7500
32 Sn 0.8750 0.2500 0.1250
33 O 0.0100 0.1886 0.1090
34 O 0.0100 0.3214 0.9010
35 O 0.0796 0.6886 0.6786
36 O 0.0796 0.8910 0.4010
37 O 0.0990 0.6090 0.4204
38 O 0.0990 0.9900 0.6786
39 O 0.1090 0.0100 0.1886
40 O 0.1090 0.5990 0.9204
41 O 0.1786 0.1886 0.5796
42 O 0.1786 0.4900 0.5990
43 O 0.1886 0.1090 0.0100
44 O 0.1886 0.5796 0.1786
45 O 0.3114 0.3214 0.9204
46 O 0.3114 0.4900 0.3910
47 O 0.3214 0.9010 0.0100
48 O 0.3214 0.9204 0.3114
49 O 0.3910 0.3114 0.4900
50 O 0.3910 0.5796 0.9010
51 O 0.4010 0.0796 0.8910
52 O 0.4010 0.8214 0.5100
53 O 0.4204 0.0990 0.6090
54 O 0.4204 0.8214 0.8114
55 O 0.4900 0.3910 0.3114
56 O 0.4900 0.5990 0.1786
57 O 0.5100 0.4010 0.8214
58 O 0.5100 0.6090 0.6886
59 O 0.5796 0.1786 0.1886
60 O 0.5796 0.9010 0.3910
61 O 0.5990 0.1786 0.4900
62 O 0.5990 0.9204 0.1090
63 O 0.6090 0.4204 0.0990
64 O 0.6090 0.6886 0.5100
65 O 0.6786 0.0796 0.6886
66 O 0.6786 0.0990 0.9900
67 O 0.6886 0.5100 0.6090
68 O 0.6886 0.6786 0.0796
69 O 0.8114 0.4204 0.8214
70 O 0.8114 0.8910 0.9900
71 O 0.8214 0.5100 0.4010
72 O 0.8214 0.8114 0.4204
73 O 0.8910 0.4010 0.0796
74 O 0.8910 0.9900 0.8114
75 O 0.9010 0.0100 0.3214
76 O 0.9010 0.3910 0.5796
77 O 0.9204 0.1090 0.5990
78 O 0.9204 0.3114 0.3214
79 O 0.9900 0.6786 0.0990
80 O 0.9900 0.8114 0.8910

A geometry-optimized La5Nd4Cd4 structure, computed with PBE.

Properties
* space group: I4/m (87)
* energy of formation from the pure elements: -2.26 eV per formula unit

Unit cell a=9.3141 b=9.3141 c=9.3141 alpha=94.76 beta=94.76 gamma=146.50
Sites, in units of the cell vectors:
1 La 0.0000 0.0000 0.0000
2 La 0.3144 0.3924 0.7067
3 La 0.3924 0.6856 0.0780
4 La 0.6076 0.3144 0.9220
5 La 0.6856 0.6076 0.2933
6 Nd 0.0948 0.6103 0.7051
7 Nd 0.3897 0.0948 0.4845
8 Nd 0.6103 0.9052 0.5155
9 Nd 0.9052 0.3897 0.2949
10 Cd 0.1036 0.2369 0.3405
11 Cd 0.2369 0.8964 0.1332
12 Cd 0.7631 0.1036 0.8668
13 Cd 0.8964 0.7631 0.6595

A geometry-optimized YbH12C8NO8 structure, computed with PBE.

Properties
* electronic total energy: -6.23 eV/atom
* space group: I4_1/a (88)

Unit cell a=10.9342 b=10.9342 c=10.9342 alpha=133.44 beta=133.44 gamma=67.96
Sites, in units of the cell vectors:
1 Yb 0.3750 0.1250 0.2500
2 Yb 0.6250 0.8750 0.7500
3 H 0.0281 0.8388 0.5909
4 H 0.0322 0.4466 0.5669
5 H 0.0347 0.4678 0.9144
6 H 0.0534 0.1203 0.5856
7 H 0.0628 0.4719 0.3106
8 H 0.1208 0.7640 0.4676
9 H 0.1532 0.6208 0.8568
10 H 0.2036 0.3468 0.9676
11 H 0.2522 0.5628 0.0909
12 H 0.2640 0.2964 0.6432
13 H 0.3388 0.2478 0.8106
14 H 0.3797 0.4653 0.9331
15 H 0.6203 0.5347 0.0669
16 H 0.6612 0.7522 0.1894
17 H 0.7360 0.7036 0.3568
18 H 0.7478 0.4372 0.9091
19 H 0.7964 0.6532 0.0324
20 H 0.8468 0.3792 0.1432
21 H 0.8792 0.2360 0.5324
22 H 0.9372 0.5281 0.6894
23 H 0.9466 0.8797 0.4144
24 H 0.9653 0.5322 0.0856
25 H 0.9678 0.5534 0.4331
26 H 0.9719 0.1612 0.4091
27 C 0.0029 0.7895 0.4465
28 C 0.0163 0.0624 0.1093
29 C 0.0564 0.5029 0.7133
30 C 0.1570 0.4436 0.9465
31 C 0.2895 0.3430 0.7867
32 C 0.4070 0.5163 0.4540
33 C 0.4376 0.0470 0.9540
34 C 0.4530 0.9070 0.3907
35 C 0.5470 0.0930 0.6093
36 C 0.5624 0.9530 0.0460
37 C 0.5930 0.4837 0.5460
38 C 0.7105 0.6570 0.2133
39 C 0.8430 0.5564 0.0535
40 C 0.9436 0.4971 0.2867
41 C 0.9837 0.9376 0.8907
42 C 0.9971 0.2105 0.5535
43 N 0.1250 0.3750 0.7500
44 N 0.8750 0.6250 0.2500
45 O 0.1057 0.9437 0.9031
46 O 0.1613 0.1596 0.2817
47 O 0.2974 0.3943 0.3380
48 O 0.3404 0.1221 0.0017
49 O 0.3779 0.8797 0.2183
50 O 0.3797 0.6613 0.5017
51 O 0.4437 0.0406 0.8380
52 O 0.4594 0.7974 0.4031
53 O 0.5406 0.2026 0.5969
54 O 0.5563 0.9594 0.1620
55 O 0.6203 0.3387 0.4983
56 O 0.6221 0.1203 0.7817
57 O 0.6596 0.8779 0.9983
58 O 0.7026 0.6057 0.6620
59 O 0.8387 0.8404 0.7183
60 O 0.8943 0.0563 0.0969

A geometry-optimized Sc6Se5 structure, computed with PBE.

Properties
* space group: C2/m (12)
* formation energy without anion corrections: -1.4279 eV per atom

Unit cell a=6.6048 b=6.6048 c=6.6230 alpha=99.64 beta=99.64 gamma=119.84
Sites, in units of the cell vectors:
1 Sc 0.0804 0.4142 0.2463
2 Sc 0.2492 0.2492 0.7450
3 Sc 0.4142 0.0804 0.2463
4 Sc 0.5858 0.9196 0.7537
5 Sc 0.7508 0.7508 0.2550
6 Sc 0.9196 0.5858 0.7537
7 Se 0.1693 0.8307 0.5000
8 Se 0.3350 0.6650 0.0000
9 Se 0.5000 0.5000 0.5000
10 Se 0.6650 0.3350 0.0000
11 Se 0.8307 0.1693 0.5000

A geometry-optimized Li2In3Rh structure, computed with PBE.

Properties
* space group: P-3m1 (164)
* energy of formation from the pure elements: -2.05 eV per formula unit

Unit cell a=4.6413 b=4.6413 c=5.6834 alpha=90.00 beta=90.00 gamma=120.00
Sites, in units of the cell vectors:
1 Li 0.3333 0.6667 0.1941
2 Li 0.6667 0.3333 0.8059
3 In 0.0000 0.0000 0.0000
4 In 0.3333 0.6667 0.6739
5 In 0.6667 0.3333 0.3261
6 Rh 0.0000 0.0000 0.5000

A geometry-optimized NdSmDy2Er5 structure, computed with PBE.

Properties
* space group: I4/mcm (140)
* energy of formation from the pure elements: 2.53 eV per formula unit

Unit cell a=9.6896 b=9.6896 c=9.6896 alpha=125.73 beta=125.73 gamma=80.34
Sites, in units of the cell vectors:
1 Nd 0.2500 0.2500 0.0000
2 Nd 0.7500 0.7500 0.0000
3 Sm 0.2500 0.7500 0.5000
4 Sm 0.7500 0.2500 0.5000
5 Dy 0.1141 0.6141 0.7281
6 Dy 0.3859 0.1141 0.5000
7 Dy 0.6141 0.8859 0.5000
8 Dy 0.8859 0.3859 0.2719
9 Er 0.0000 0.0000 0.0000
10 Er 0.0722 0.1626 0.5000
11 Er 0.1626 0.6626 0.0904
12 Er 0.3374 0.4278 0.5000
13 Er 0.4278 0.9278 0.0904
14 Er 0.5000 0.5000 0.0000
15 Er 0.5722 0.0722 0.9096
16 Er 0.6626 0.5722 0.5000
17 Er 0.8374 0.3374 0.9096
18 Er 0.9278 0.8374 0.5000

A geometry-optimized Li6AlAu12 structure, computed with PBE.

Properties
* space group: R-3 (148)
* energy of formation from the pure elements: -7.23 eV per formula unit

Unit cell a=7.3705 b=7.3705 c=7.3705 alpha=106.07 beta=106.07 gamma=106.07
Sites, in units of the cell vectors:
1 Li 0.0240 0.2960 0.4177
2 Li 0.2960 0.4177 0.0240
3 Li 0.4177 0.0240 0.2960
4 Li 0.5823 0.9760 0.7040
5 Li 0.7040 0.5823 0.9760
6 Li 0.9760 0.7040 0.5823
7 Al 0.5000 0.5000 0.5000
8 Au 0.0218 0.9038 0.3110
9 Au 0.0962 0.6890 0.9782
10 Au 0.2355 0.6483 0.3630
11 Au 0.3110 0.0218 0.9038
12 Au 0.3517 0.6370 0.7645
13 Au 0.3630 0.2355 0.6483
14 Au 0.6370 0.7645 0.3517
15 Au 0.6483 0.3630 0.2355
16 Au 0.6890 0.9782 0.0962
17 Au 0.7645 0.3517 0.6370
18 Au 0.9038 0.3110 0.0218
19 Au 0.9782 0.0962 0.6890

A geometry-optimized La2TlFeHg structure, computed with PBE.

Properties
* space group: P4/mmm (123)
* energy of formation from the pure elements: -1.02 eV per formula unit

Unit cell a=5.1918 b=5.1918 c=5.1499 alpha=90.00 beta=90.00 gamma=90.00
Sites, in units of the cell vectors:
1 La 0.0000 0.5000 0.0000
2 La 0.5000 0.0000 0.0000
3 Tl 0.0000 0.0000 0.5000
4 Fe 0.0000 0.0000 0.0000
5 Hg 0.5000 0.5000 0.5000

| no. | DOS at the Fermi energy (states/eV/atom) |
| --- | --- |
| 1 | 0.07 |
| 2 | 0.68 |
| 3 | 0.23 |
| 4 | 0.90 |
| 5 | 0.66 |
| 6 | 1.18 |
| 7 | 0.46 |
| 8 | 0.58 |
| 9 | 0.57 |
| 10 | 1.21 |
| 11 | 0.28 |
| 12 | 0.91 |